Entry from Alexandria via LeMat-Bulk: LiTeS2 after structural relaxation (PBE-GGA).

Output
Its total energy is -3.703 eV/atom. The volume is 222.3 Å³ per cell. For the uncorrected formation energy, the calculation gives -0.376 eV/atom. The space group is P1, No. 1.

Unit cell a=4.836 b=6.393 c=7.192 alpha=88.88 beta=89.98 gamma=89.82
Atoms (fractional coordinates):
Li 0.000 0.000 0.000
Li 0.000 0.001 0.500
Te 0.497 0.505 0.800
Te 0.498 0.495 0.198
S 0.332 0.109 0.751
S 0.332 0.892 0.250
S 0.662 0.103 0.246
S 0.662 0.897 0.754

---

Entry from Alexandria via LeMat-Bulk: Re2HgAs after structural relaxation (PBE-GGA).

Output
Its total energy is -6.521 eV/atom. The volume is 309.2 Å³ per cell. As for the density of states at the Fermi level: 1.19 states/eV/atom. For the excess energy over the best structure of this formula in the dataset, the calculation gives 664 meV/atom. Its formation energy is 0.941 eV per atom. The space group is I-42d, No. 122.

Unit cell a=4.074 b=4.074 c=18.623 alpha=90.00 beta=90.00 gamma=90.00
Atoms (fractional coordinates):
Re 0.165 0.250 0.125
Re 0.250 0.665 0.375
Re 0.250 0.835 0.875
Re 0.335 0.250 0.625
Re 0.665 0.750 0.625
Re 0.750 0.165 0.875
Re 0.750 0.335 0.375
Re 0.835 0.750 0.125
Hg 0.000 0.000 0.500
Hg 0.000 0.500 0.750
Hg 0.500 0.000 0.250
Hg 0.500 0.500 0.000
As 0.000 0.000 0.000
As 0.000 0.500 0.250
As 0.500 0.000 0.750
As 0.500 0.500 0.500

---

Entry from Alexandria via LeMat-Bulk: V2MoHIr after structural relaxation (PBE-GGA).

Output
Its total energy is -6.283 eV/atom. The volume is 98.4 Å³ per cell. As for the density of states at the Fermi level: 1.54 states/eV/atom. For the excess energy over the best structure of this formula in the dataset, the calculation gives 2137 meV/atom. The space group is P4/mmm, No. 123.

Unit cell a=4.575 b=4.575 c=4.703 alpha=90.00 beta=90.00 gamma=90.00
Atoms (fractional coordinates):
V 0.000 0.500 0.000
V 0.500 0.000 0.000
Mo 0.000 0.000 0.000
H 0.500 0.500 0.500
Ir 0.000 0.000 0.500